A relaxed structure of NaAu12, computed with PBE-GGA.

a b c (Å): 8.136 8.136 8.136
angles (deg): 60.00 60.00 60.00
Element x y z (fractional)
Na1 0.000 0.000 0.000
Au1 0.161 0.500 0.500
Au2 0.161 0.500 0.839
Au3 0.161 0.839 0.500
Au4 0.500 0.161 0.500
Au5 0.500 0.161 0.839
Au6 0.500 0.500 0.161
Au7 0.500 0.500 0.839
Au8 0.500 0.839 0.161
Au9 0.500 0.839 0.500
Au10 0.839 0.161 0.500
Au11 0.839 0.500 0.161
Au12 0.839 0.500 0.500

Values from the calculation:
As for the magnetization: 0.0 μB/f.u. The formation energy is 0.42 eV/atom. The value obtained for the calculated density is 10.4 Mg/m³. For the density of states at the Fermi level, the calculation gives 9.02 states/eV per cell. As for the total DFT energy (no corrections): -2.703 eV/atom.

=====

A relaxed structure of CaZn2Co2, computed with PBE-GGA.

a b c (Å): 7.322 7.322 2.797
angles (deg): 90.00 90.00 90.00
Element x y z (fractional)
Ca1 0.000 0.000 0.000
Ca2 0.500 0.500 0.000
Zn1 0.171 0.329 0.500
Zn2 0.329 0.829 0.500
Zn3 0.671 0.171 0.500
Zn4 0.829 0.671 0.500
Co1 0.118 0.618 0.000
Co2 0.382 0.118 0.000
Co3 0.618 0.882 0.000
Co4 0.882 0.382 0.000

Values from the calculation:
As for the magnetization: 1.4 μB/f.u. The formation energy is 0.07 eV/atom. The value obtained for the calculated density is 6.4 Mg/m³. For the density of states at the Fermi level, the calculation gives 8.27 states/eV per cell. The value obtained for the energy above the most stable polymorph in this dataset is 12 meV per atom. As for the total DFT energy (no corrections): -3.684 eV/atom.

=====

A relaxed structure of NdScGaOs, computed with PBE-GGA.

a b c (Å): 4.884 4.884 4.884
angles (deg): 60.00 60.00 60.00
Element x y z (fractional)
Nd1 0.000 0.000 0.000
Sc1 0.500 0.500 0.500
Ga1 0.250 0.250 0.250
Os1 0.750 0.750 0.750

Values from the calculation:
As for the magnetization: 0.0 μB/f.u. The formation energy is -0.26 eV/atom. The value obtained for the calculated density is 9.1 Mg/m³. For the density of states at the Fermi level, the calculation gives 2.48 states/eV per cell. As for the total DFT energy (no corrections): -6.603 eV/atom.

=====

A relaxed structure of CaCdBr2, computed with PBE-GGA.

a b c (Å): 7.502 7.502 7.502
angles (deg): 106.58 106.58 115.42
Element x y z (fractional)
Ca1 0.000 0.000 0.000
Ca2 0.750 0.250 0.500
Cd1 0.250 0.750 0.500
Cd2 0.500 0.500 0.000
Br1 0.028 0.625 0.903
Br2 0.375 0.278 0.403
Br3 0.722 0.125 0.097
Br4 0.875 0.972 0.597

Values from the calculation:
The calculation puts the energy relative to the elements, uncorrected at -1222 meV per atom. As for the magnetization: 0.0 μB/f.u. The value obtained for the calculated density is 3.2 Mg/m³. For the density of states at the Fermi level, the calculation gives 0.00 states/eV per cell. The value obtained for the energy above the most stable polymorph in this dataset is 153 meV per atom. As for the total DFT energy (no corrections): -2.788 eV/atom.

=====

A relaxed structure of NiBiPt, computed with PBE-GGA.

a b c (Å): 4.364 4.364 8.070
angles (deg): 103.24 103.24 55.35
Element x y z (fractional)
Ni1 0.000 0.000 0.000
Ni2 0.571 0.571 0.789
Bi1 0.137 0.137 0.507
Bi2 0.717 0.717 0.140
Pt1 0.289 0.289 0.896
Pt2 0.861 0.861 0.674

Values from the calculation:
As for the magnetization: 0.0 μB/f.u. The formation energy is -0.09 eV/atom. The value obtained for the calculated density is 12.6 Mg/m³. For the density of states at the Fermi level, the calculation gives 5.86 states/eV per cell. The value obtained for the energy above the most stable polymorph in this dataset is 21 meV per atom. As for the total DFT energy (no corrections): -5.327 eV/atom.

=====

A relaxed structure of BaAlSbTe2, computed with PBE-GGA.

a b c (Å): 6.482 6.482 6.419
angles (deg): 90.00 90.00 90.00
Element x y z (fractional)
Ba1 0.000 0.000 0.000
Al1 0.500 0.500 0.500
Sb1 0.000 0.000 0.500
Te1 0.000 0.500 0.000
Te2 0.500 0.000 0.000

Values from the calculation:
The calculation puts the energy relative to the elements, uncorrected at 596 meV per atom. As for the magnetization: 1.4 μB/f.u. The value obtained for the calculated density is 3.3 Mg/m³. For the density of states at the Fermi level, the calculation gives 7.09 states/eV per cell. The value obtained for the energy above the most stable polymorph in this dataset is 1095 meV per atom. As for the total DFT energy (no corrections): -2.618 eV/atom.

=====

A relaxed structure of LaZrPdF2, computed with PBE-GGA.

a b c (Å): 4.398 4.398 6.436
angles (deg): 90.00 90.00 90.00
Element x y z (fractional)
La1 0.000 0.000 0.000
Zr1 0.500 0.500 0.500
Pd1 0.000 0.000 0.500
F1 0.000 0.500 0.000
F2 0.500 0.000 0.000

Values from the calculation:
The calculation puts the energy relative to the elements, uncorrected at -1674 meV per atom. As for the magnetization: 1.4 μB/f.u. The value obtained for the calculated density is 5.0 Mg/m³. For the density of states at the Fermi level, the calculation gives 4.13 states/eV per cell. As for the total DFT energy (no corrections): -6.156 eV/atom.

=====

A relaxed structure of ErZnCoPd, computed with PBE-GGA.

a b c (Å): 4.512 4.512 4.512
angles (deg): 60.00 60.00 60.00
Element x y z (fractional)
Er1 0.000 0.000 0.000
Zn1 0.500 0.500 0.500
Co1 0.750 0.750 0.750
Pd1 0.250 0.250 0.250

Values from the calculation:
As for the magnetization: 0.0 μB/f.u. The formation energy is -0.38 eV/atom. The value obtained for the calculated density is 10.2 Mg/m³. For the density of states at the Fermi level, the calculation gives 1.65 states/eV per cell. As for the total DFT energy (no corrections): -4.914 eV/atom.